[1]
VASP calculation (GGA-PBEsol) on a relaxed Zr2Ag crystal.

## Properties
Space-group type: C2/m (12)
Energy of formation from the pure elements, eV/atom: -0.032
V, Å³ per atom: 20.36

Cell: 3.1262 5.4387 8.3262 Å, 114.54 90.00 106.70°
Sites, in units of the cell vectors:
Zr 0.3412 0.6824 0.9241
Zr 0.9904 0.9807 0.2755
Zr 0.0096 0.0193 0.7245
Zr 0.6588 0.3176 0.0759
Ag 0.6882 0.3764 0.5887
Ag 0.3118 0.6236 0.4113



[2]
VASP calculation (GGA-PBEsol) on a relaxed CuRuPt2 crystal.

## Properties
Space-group type: Pmmm (47)
Energy of formation from the pure elements, eV/atom: -0.004
Offset from the most stable computed form, kcal/mol of atoms: 0.79
V, Å³ per atom: 13.74

Cell: 2.7012 3.8126 5.3352 Å, 90.00 90.00 90.00°
Sites, in units of the cell vectors:
Ru 0.5000 0.5000 0.0000
Cu 0.5000 0.5000 0.5000
Pt 0.0000 0.0000 0.7497
Pt 0.0000 0.0000 0.2501



[3]
VASP calculation (GGA-PBEsol) on a relaxed CaCrCo2 crystal.

## Properties
Space-group type: P4mm (99)
Energy of formation from the pure elements, eV/atom: 0.557
Offset from the most stable computed form, kcal/mol of atoms: 0.00
V, Å³ per atom: 14.67

Cell: 2.9646 2.9646 6.6779 Å, 90.00 90.00 90.00°
Sites, in units of the cell vectors:
Cr 0.0000 0.0000 0.4105
Ca 0.5000 0.5000 0.7581
Co 0.0000 0.0000 0.0713
Co 0.5000 0.5000 0.2601



[4]
VASP calculation (GGA-PBEsol) on a relaxed Al3Mo5 crystal.

## Properties
Space-group type: Cmmm (65)
Energy of formation from the pure elements, eV/atom: 0.043
V, Å³ per atom: 14.93

Cell: 4.2163 5.3827 5.3827 Å, 102.18 90.00 90.00°
Sites, in units of the cell vectors:
Al 0.0000 0.5000 0.5000
Al 0.5000 0.7540 0.2460
Al 0.5000 0.2460 0.7540
Mo 0.0000 0.0000 0.0000
Mo 0.0000 0.0000 0.5000
Mo 0.0000 0.5000 0.0000
Mo 0.5000 0.2567 0.2567
Mo 0.5000 0.7433 0.7433



[5]
VASP calculation (GGA-PBEsol) on a relaxed LiMn2F7 crystal.

## Properties
Space-group type: P2_1/c (14)
Energy relative to the elements, uncorrected, eV per atom: -2.509
Offset from the most stable computed form, kcal/mol of atoms: 0.00
V, Å³ per atom: 11.50

Cell: 4.9712 7.3448 12.6574 Å, 95.61 90.00 90.00°
Sites, in units of the cell vectors:
Li 0.7534 0.1712 0.9165
Li 0.7466 0.6712 0.9165
Li 0.2534 0.3288 0.0835
Li 0.2466 0.8288 0.0835
Mn 0.2460 0.3517 0.8207
Mn 0.2540 0.8517 0.8207
Mn 0.7517 0.2802 0.6078
Mn 0.7483 0.7802 0.6078
Mn 0.2517 0.2198 0.3922
Mn 0.2483 0.7198 0.3922
Mn 0.7460 0.1483 0.1793
Mn 0.7540 0.6483 0.1793
F 0.9372 0.4331 0.8912
F 0.4257 0.3167 0.9468
F 0.0999 0.1000 0.8252
F 0.5628 0.9331 0.8912
F 0.0743 0.8167 0.9468
F 0.4001 0.6000 0.8252
F 0.0640 0.3632 0.6906
F 0.5506 0.2610 0.7438
F 0.4360 0.8632 0.6906
F 0.9494 0.7610 0.7438
F 0.6408 0.5306 0.6106
F 0.8592 0.0306 0.6106
F 0.4474 0.2034 0.5239
F 0.9474 0.2966 0.4761
F 0.0526 0.7034 0.5239
F 0.5526 0.7966 0.4761
F 0.1408 0.9694 0.3894
F 0.3592 0.4694 0.3894
F 0.0506 0.2390 0.2562
F 0.5640 0.1368 0.3094
F 0.4494 0.7390 0.2562
F 0.9360 0.6368 0.3094
F 0.5999 0.4000 0.1748
F 0.9257 0.1833 0.0532
F 0.4372 0.0669 0.1088
F 0.9001 0.9000 0.1748
F 0.5743 0.6833 0.0532
F 0.0628 0.5669 0.1088



[6]
VASP calculation (GGA-PBEsol) on a relaxed ScTe2PtRh crystal.

## Properties
Space-group type: P4/mmm (123)
Energy relative to the elements, uncorrected, eV per atom: 0.357
V, Å³ per atom: 25.33

Cell: 4.7205 5.1801 5.1801 Å, 90.00 90.00 90.00°
Sites, in units of the cell vectors:
Sc 0.5000 0.5000 0.5000
Te 0.0000 0.0000 0.5000
Te 0.0000 0.5000 0.0000
Rh 0.5000 0.0000 0.0000
Pt 0.0000 0.0000 0.0000



[7]
VASP calculation (GGA-PBEsol) on a relaxed Ta2InPt crystal.

## Properties
Space-group type: Cmmm (65)
Energy of formation from the pure elements, eV/atom: -0.157
V, Å³ per atom: 17.23

Cell: 2.8455 5.1222 5.1222 Å, 112.62 90.00 90.00°
Sites, in units of the cell vectors:
In 0.5000 0.5000 0.5000
Pt 0.5000 0.0000 0.0000
Ta 0.0000 0.0000 0.5000
Ta 0.0000 0.5000 0.0000



[8]
VASP calculation (GGA-PBEsol) on a relaxed MnCdSnF2 crystal.

## Properties
Space-group type: P4/mmm (123)
Energy relative to the elements, uncorrected, eV per atom: -0.561
V, Å³ per atom: 21.09

Cell: 4.1311 4.1311 6.1782 Å, 90.00 90.00 90.00°
Sites, in units of the cell vectors:
F 0.0000 0.5000 0.0000
F 0.5000 0.0000 0.0000
Mn 0.0000 0.0000 0.5000
Sn 0.5000 0.5000 0.5000
Cd 0.0000 0.0000 0.0000



[9]
VASP calculation (GGA-PBEsol) on a relaxed PbCl crystal.

## Properties
Space-group type: I4_1/amd (141)
Energy relative to the elements, uncorrected, eV per atom: -0.534
V, Å³ per atom: 26.16

Cell: 4.2280 4.2280 6.5725 Å, 108.76 108.76 90.00°
Sites, in units of the cell vectors:
Pb 0.7500 0.2500 0.5000
Pb 0.5000 0.5000 0.0000
Cl 0.2500 0.7500 0.5000
Cl 0.0000 0.0000 0.0000



[10]
VASP calculation (GGA-PBEsol) on a relaxed SrLa crystal.

## Properties
Space-group type: R-3m (166)
Energy of formation from the pure elements, eV/atom: 0.097
Offset from the most stable computed form, kcal/mol of atoms: 0.49
V, Å³ per atom: 41.84

Cell: 3.8776 3.8776 13.0460 Å, 81.45 81.45 60.00°
Sites, in units of the cell vectors:
Sr 0.6210 0.6210 0.1369
Sr 0.3790 0.3790 0.8631
La 0.1305 0.1305 0.6084
La 0.8695 0.8695 0.3916



[11]
VASP calculation (GGA-PBEsol) on a relaxed Er6Ti4Al43 crystal.

## Properties
Space-group type: P6_3/mcm (193)
Energy of formation from the pure elements, eV/atom: -0.333
V, Å³ per atom: 17.31

Cell: 10.9544 10.9544 17.6612 Å, 90.00 90.00 120.00°
Sites, in units of the cell vectors:
Er 0.0000 0.4710 0.9039
Er 0.0000 0.5290 0.0961
Er 0.4710 0.0000 0.9039
Er 0.0000 0.5290 0.4039
Er 0.4710 0.0000 0.5961
Er 0.5290 0.0000 0.0961
Er 0.0000 0.4710 0.5961
Er 0.5290 0.0000 0.4039
Er 0.5290 0.5290 0.9039
Er 0.4710 0.4710 0.0961
Er 0.4710 0.4710 0.4039
Er 0.5290 0.5290 0.5961
Ti 0.0000 0.0000 0.0000
Ti 0.0000 0.0000 0.5000
Ti 0.0000 0.2725 0.7500
Ti 0.0000 0.7275 0.2500
Ti 0.2725 0.0000 0.7500
Ti 0.7275 0.0000 0.2500
Ti 0.7275 0.7275 0.7500
Ti 0.2725 0.2725 0.2500
Al 0.4041 0.8508 0.7500
Al 0.5959 0.1492 0.2500
Al 0.4467 0.5959 0.7500
Al 0.8508 0.4041 0.7500
Al 0.5533 0.4041 0.2500
Al 0.1492 0.5959 0.2500
Al 0.1492 0.5533 0.7500
Al 0.5959 0.4467 0.7500
Al 0.8508 0.4467 0.2500
Al 0.4041 0.5533 0.2500
Al 0.5533 0.1492 0.7500
Al 0.4467 0.8508 0.2500
Al 0.0000 0.8438 0.3836
Al 0.0000 0.1562 0.6164
Al 0.8438 0.0000 0.3836
Al 0.0000 0.1562 0.8836
Al 0.8438 0.0000 0.1164
Al 0.1562 0.0000 0.6164
Al 0.0000 0.8438 0.1164
Al 0.1562 0.0000 0.8836
Al 0.1562 0.1562 0.3836
Al 0.8438 0.8438 0.6164
Al 0.8438 0.8438 0.8836
Al 0.1562 0.1562 0.1164
Al 0.5053 0.7527 0.0000
Al 0.4947 0.2473 0.0000
Al 0.2473 0.4947 0.0000
Al 0.4947 0.2473 0.5000
Al 0.7527 0.5053 0.5000
Al 0.7527 0.5053 0.0000
Al 0.5053 0.7527 0.5000
Al 0.2473 0.4947 0.5000
Al 0.2473 0.7527 0.0000
Al 0.7527 0.2473 0.0000
Al 0.7527 0.2473 0.5000
Al 0.2473 0.7527 0.5000
Al 0.0000 0.8527 0.7500
Al 0.0000 0.1473 0.2500
Al 0.8527 0.0000 0.7500
Al 0.1473 0.0000 0.2500
Al 0.1473 0.1473 0.7500
Al 0.8527 0.8527 0.2500
Al 0.3333 0.6667 0.8746
Al 0.6667 0.3333 0.1254
Al 0.6667 0.3333 0.3746
Al 0.6667 0.3333 0.6254
Al 0.3333 0.6667 0.6254
Al 0.3333 0.6667 0.3746
Al 0.3333 0.6667 0.1254
Al 0.6667 0.3333 0.8746
Al 0.0000 0.7464 0.9713
Al 0.0000 0.2536 0.0287
Al 0.7464 0.0000 0.9713
Al 0.0000 0.2536 0.4713
Al 0.7464 0.0000 0.5287
Al 0.2536 0.0000 0.0287
Al 0.0000 0.7464 0.5287
Al 0.2536 0.0000 0.4713
Al 0.2536 0.2536 0.9713
Al 0.7464 0.7464 0.0287
Al 0.7464 0.7464 0.4713
Al 0.2536 0.2536 0.5287
Al 0.6063 0.8407 0.8369
Al 0.3937 0.1593 0.1631
Al 0.2344 0.3937 0.8369
Al 0.3937 0.1593 0.3369
Al 0.8407 0.6063 0.6631
Al 0.7656 0.6063 0.1631
Al 0.6063 0.8407 0.6631
Al 0.1593 0.3937 0.3369
Al 0.1593 0.7656 0.8369
Al 0.7656 0.6063 0.3369
Al 0.3937 0.2344 0.6631
Al 0.8407 0.2344 0.1631
Al 0.2344 0.3937 0.6631
Al 0.6063 0.7656 0.3369
Al 0.1593 0.3937 0.1631
Al 0.8407 0.6063 0.8369
Al 0.8407 0.2344 0.3369
Al 0.6063 0.7656 0.1631
Al 0.1593 0.7656 0.6631
Al 0.3937 0.2344 0.8369
Al 0.7656 0.1593 0.6631
Al 0.2344 0.8407 0.3369
Al 0.2344 0.8407 0.1631
Al 0.7656 0.1593 0.8369



[12]
VASP calculation (GGA-PBEsol) on a relaxed Li5Cu3F14 crystal.

## Properties
Space-group type: P4/mnc (128)
Energy relative to the elements, uncorrected, eV per atom: -2.047
V, Å³ per atom: 10.30

Cell: 6.9212 6.9212 9.4567 Å, 90.00 90.00 90.00°
Sites, in units of the cell vectors:
Li 0.0000 0.0000 0.5000
Li 0.2306 0.2694 0.2500
Li 0.2306 0.2694 0.7500
Li 0.2694 0.7694 0.7500
Li 0.2694 0.7694 0.2500
Li 0.5000 0.5000 0.0000
Li 0.7306 0.2306 0.7500
Li 0.7306 0.2306 0.2500
Li 0.7694 0.7306 0.7500
Li 0.7694 0.7306 0.2500
Cu 0.0000 0.0000 0.0000
Cu 0.0000 0.5000 0.0000
Cu 0.0000 0.5000 0.5000
Cu 0.5000 0.5000 0.5000
Cu 0.5000 0.0000 0.0000
Cu 0.5000 0.0000 0.5000
F 0.0000 0.0000 0.1956
F 0.0000 0.0000 0.8044
F 0.0348 0.6998 0.3629
F 0.0348 0.6998 0.6371
F 0.0981 0.2483 0.0000
F 0.1998 0.5348 0.1371
F 0.1998 0.5348 0.8629
F 0.2483 0.9019 0.0000
F 0.2517 0.4019 0.5000
F 0.3002 0.0348 0.3629
F 0.3002 0.0348 0.6371
F 0.4019 0.7483 0.5000
F 0.4652 0.1998 0.1371
F 0.4652 0.1998 0.8629
F 0.5000 0.5000 0.3044
F 0.5000 0.5000 0.6956
F 0.5348 0.8002 0.1371
F 0.5348 0.8002 0.8629
F 0.5981 0.2517 0.5000
F 0.6998 0.9652 0.3629
F 0.6998 0.9652 0.6371
F 0.7483 0.5981 0.5000
F 0.7517 0.0981 0.0000
F 0.8002 0.4652 0.1371
F 0.8002 0.4652 0.8629
F 0.9019 0.7517 0.0000
F 0.9652 0.3002 0.3629
F 0.9652 0.3002 0.6371



[13]
VASP calculation (GGA-PBEsol) on a relaxed Cd3ClO crystal.

## Properties
Space-group type: Pm-3m (221)
Energy relative to the elements, uncorrected, eV per atom: -0.222
V, Å³ per atom: 20.51

Cell: 4.6809 4.6809 4.6809 Å, 90.00 90.00 90.00°
Sites, in units of the cell vectors:
Cl 0.5000 0.5000 0.5000
O 0.0000 0.0000 0.0000
Cd 0.0000 0.5000 0.0000
Cd 0.0000 0.0000 0.5000
Cd 0.5000 0.0000 0.0000



[14]
VASP calculation (GGA-PBEsol) on a relaxed HfTiNF2 crystal.

## Properties
Space-group type: P4/mmm (123)
Energy relative to the elements, uncorrected, eV per atom: -1.355
V, Å³ per atom: 12.16

Cell: 3.8015 3.8015 4.2068 Å, 90.00 90.00 90.00°
Sites, in units of the cell vectors:
N 0.0000 0.0000 0.5000
F 0.0000 0.5000 0.0000
F 0.5000 0.0000 0.0000
Hf 0.5000 0.5000 0.5000
Ti 0.0000 0.0000 0.0000



[15]
VASP calculation (GGA-PBEsol) on a relaxed HgI2 crystal.

## Properties
Space-group type: Cmc2_1 (36)
Energy relative to the elements, uncorrected, eV per atom: -0.245
V, Å³ per atom: 37.80

Cell: 4.3370 4.3370 13.3593 Å, 90.00 90.00 115.49°
Sites, in units of the cell vectors:
I 0.0784 0.9216 0.8625
I 0.9216 0.0784 0.3625
I 0.6225 0.3775 0.1297
I 0.3775 0.6225 0.6297
Hg 0.3509 0.6491 0.9960
Hg 0.6491 0.3509 0.4960



[16]
VASP calculation (GGA-PBEsol) on a relaxed LiWSe crystal.

## Properties
Space-group type: F-43m (216)
Energy relative to the elements, uncorrected, eV per atom: 1.150
Offset from the most stable computed form, kcal/mol of atoms: 19.23
V, Å³ per atom: 15.25

Cell: 4.0141 4.0141 4.0141 Å, 60.00 60.00 60.00°
Sites, in units of the cell vectors:
W 0.5000 0.5000 0.5000
Se 0.0000 0.0000 0.0000
Li 0.7500 0.7500 0.7500